Entry 1:
A relaxed Er3Mg2Al2CdIn crystal. Source: OQMD via LeMat-Bulk, functional PBE-GGA.

abc: 4.578 7.320 7.320
angles: 120.56 90.00 90.00
Sites, in units of the cell vectors:
Er1 0.000 0.000 0.000
Er2 0.000 0.119 0.559
Er3 0.000 0.559 0.119
Mg1 0.500 0.554 0.801
Mg2 0.500 0.801 0.554
Al1 0.500 0.226 0.892
Al2 0.500 0.892 0.226
Cd1 0.500 0.306 0.306
In1 0.000 0.560 0.560

Size of the total moment   0.00 μB/cell

Entry 2:
A relaxed TbEr2Al2Cd3In crystal. Source: OQMD via LeMat-Bulk, functional PBE-GGA.

abc: 4.546 7.303 7.303
angles: 120.16 90.00 90.00
Sites, in units of the cell vectors:
Tb1 0.000 0.000 0.000
Er1 0.000 0.436 0.874
Er2 0.000 0.874 0.436
Al1 0.500 0.104 0.769
Al2 0.500 0.769 0.104
Cd1 0.500 0.181 0.437
Cd2 0.500 0.437 0.181
Cd3 0.500 0.692 0.692
In1 0.000 0.438 0.438

Size of the total moment   0.00 μB/cell

Per-record total energy, eV per cell: -31.1, -30.2